Material: Tm4GeTe3
Method: DFT, PBE
State: optimized geometry

abc: 7.4156 7.4156 4.2356
angles: 90.00 90.00 109.15
Closest atoms and distances in Å follow each position.
Atoms (fractional coordinates):
Tm  0.7786  0.7786  0.5000  2 Ge 2.85, 2 Te 3.03
Te  0.5000  0.5000  0.0000  6 Tm 3.20-3.24
Ge  0.0000  0.0000  0.0000  6 Tm 2.81-2.85
Te  0.5000  0.0000  0.5000  6 Tm 3.02-3.03
Tm  0.7678  0.2322  0.0000  1 Ge 2.81, 4 Te 3.02
Te  0.0000  0.5000  0.5000  6 Tm 3.02-3.03
Tm  0.2214  0.2214  0.5000  2 Ge 2.85, 2 Te 3.03
Tm  0.2322  0.7678  0.0000  1 Ge 2.81, 4 Te 3.02

## Properties
E_tot   -5.1975 eV per atom
Mass density   8.54 Mg/m³

***

Material: UGeTe
Method: DFT, PBE
State: optimized geometry

abc: 4.8805 4.8805 4.8805
angles: 60.00 60.00 60.00
Closest atoms and distances in Å follow each position.
Atoms (fractional coordinates):
Ge  0.2500  0.2500  0.2500  4 Te 2.99
Te  0.0000  0.0000  0.0000  4 Ge 2.99, 4 U 2.99
U  0.7500  0.7500  0.7500  4 Te 2.99

## Properties
E_tot   -6.0233 eV per atom
Mass density   8.85 Mg/m³

***

Material: UGeTe
Method: DFT, PBE
State: optimized geometry

abc: 4.9161 4.9161 4.9161
angles: 60.00 60.00 60.00
Closest atoms and distances in Å follow each position.
Atoms (fractional coordinates):
Te  0.7500  0.7500  0.7500  4 U 3.01
Ge  0.2500  0.2500  0.2500  4 U 3.01
U  0.0000  0.0000  0.0000  4 Te 3.01, 4 Ge 3.01

## Properties
E_tot   -6.2988 eV per atom
Mass density   8.66 Mg/m³

***

Material: GeTe6W
Method: DFT, PBE
State: optimized geometry

abc: 7.5460 7.5460 17.9314
angles: 105.56 105.56 30.35
Closest atoms and distances in Å follow each position.
Atoms (fractional coordinates):
W  0.2714  0.2714  0.2394  1 Ge 2.67, 7 Te 2.81-2.92
W  0.7286  0.7286  0.7606  1 Ge 2.67, 7 Te 2.81-2.92
Te  0.1742  0.1742  0.5215  5 Te 2.99-3.21
Te  0.6362  0.6362  0.1525  1 Te 2.87, 2 W 2.92
Ge  0.2778  0.2778  0.0919  1 W 2.67, 3 Te 2.75-2.81
Te  0.4130  0.4130  0.3834  1 W 2.82, 2 Te 3.10
Te  0.6901  0.6901  0.3191  2 Te 2.87-2.99, 2 W 2.88
Te  0.1219  0.1219  0.9574  3 Ge 2.75-2.81
Te  0.8781  0.8781  0.0426  3 Ge 2.75-2.81
Te  0.0919  0.0919  0.7607  2 W 2.81
Te  0.3099  0.3099  0.6809  2 Te 2.87-2.99, 2 W 2.88
Te  0.8258  0.8258  0.4785  5 Te 2.99-3.21
Te  0.3638  0.3638  0.8475  1 Te 2.87, 2 W 2.92
Te  0.5870  0.5870  0.6166  1 W 2.82, 2 Te 3.10
Te  0.9081  0.9081  0.2393  2 W 2.81
Ge  0.7222  0.7222  0.9081  1 W 2.67, 3 Te 2.75-2.81

## Properties
E_tot   -4.5189 eV per atom
Mass density   6.85 Mg/m³

***

Material: Zn3GeTe4
Method: DFT, PBE
State: optimized geometry

abc: 7.7602 7.7602 7.7602
angles: 131.87 131.87 70.43
Closest atoms and distances in Å follow each position.
Atoms (fractional coordinates):
Te  0.1342  0.1342  0.5322  3 Zn 2.68-2.70, 1 Ge 2.91
Te  0.6021  0.6021  0.4678  3 Zn 2.68-2.70, 1 Ge 2.91
Te  0.3979  0.8658  0.0000  3 Zn 2.68-2.70, 1 Ge 2.91
Zn  0.7500  0.2500  0.5000  4 Te 2.70
Zn  0.2500  0.7500  0.5000  4 Te 2.70
Te  0.8658  0.3979  0.0000  3 Zn 2.68-2.70, 1 Ge 2.91
Ge  0.0000  0.0000  0.0000  4 Te 2.91
Zn  0.5000  0.5000  0.0000  4 Te 2.68

## Properties
E_tot   -2.9059 eV per atom
Mass density   5.10 Mg/m³

***

Material: Zn2GeTe3
Method: DFT, PBE
State: optimized geometry

abc: 7.1940 7.1940 11.0457
angles: 90.00 90.00 32.80
Closest atoms and distances in Å follow each position.
Atoms (fractional coordinates):
Te  0.6358  0.6358  0.9332  3 Zn 2.65-2.86
Te  0.3642  0.3642  0.4332  3 Zn 2.65-2.86
Te  0.8883  0.8883  0.7500  2 Zn 2.65
Zn  0.4887  0.4887  0.2500  4 Te 2.65
Zn  0.0000  0.0000  0.0000  6 Te 2.86-3.16
Te  0.1117  0.1117  0.2500  2 Zn 2.65
Ge  0.7852  0.7852  0.2500  6 Te 3.07-3.14
Te  0.6358  0.6358  0.5668  3 Zn 2.65-2.86
Ge  0.2148  0.2148  0.7500  6 Te 3.07-3.14
Zn  0.5113  0.5113  0.7500  4 Te 2.65
Zn  0.0000  0.0000  0.5000  6 Te 2.86-3.16
Te  0.3642  0.3642  0.0668  3 Zn 2.65-2.86

## Properties
E_tot   -2.8413 eV per atom
Mass density   6.29 Mg/m³

***

Material: ThGe
Method: DFT, PBE
State: optimized geometry

abc: 4.0677 4.0677 3.8237
angles: 90.00 90.00 120.00
Closest atoms and distances in Å follow each position.
Atoms (fractional coordinates):
Ge  0.6667  0.3333  0.7500  6 Th 3.03
Th  0.3333  0.6667  0.2500  6 Ge 3.03

## Properties
E_tot   -6.4435 eV per atom
Mass density   9.23 Mg/m³

***

Material: ThGe
Method: DFT, PBE
State: optimized geometry

abc: 4.7169 4.7169 4.7169
angles: 60.00 60.00 60.00
Closest atoms and distances in Å follow each position.
Atoms (fractional coordinates):
Th  0.2500  0.2500  0.2500  4 Ge 2.89
Ge  0.0000  0.0000  0.0000  4 Th 2.89

## Properties
E_tot   -5.9920 eV per atom
Mass density   6.82 Mg/m³

***

Material: ThGe
Method: DFT, PBE
State: optimized geometry

abc: 4.3081 4.3081 4.3081
angles: 60.00 60.00 60.00
Closest atoms and distances in Å follow each position.
Atoms (fractional coordinates):
Th  0.5000  0.5000  0.5000  6 Ge 3.05
Ge  0.0000  0.0000  0.0000  6 Th 3.05

## Properties
E_tot   -6.7919 eV per atom
Mass density   8.95 Mg/m³

***

Material: ThGeW
Method: DFT, PBE
State: optimized geometry

abc: 4.6165 4.6165 4.6165
angles: 60.00 60.00 60.00
Closest atoms and distances in Å follow each position.
Atoms (fractional coordinates):
W  0.0000  0.0000  0.0000  4 Ge 2.83, 4 Th 2.83
Th  0.7500  0.7500  0.7500  4 W 2.83
Ge  0.2500  0.2500  0.2500  4 W 2.83

## Properties
E_tot   -7.9166 eV per atom
Mass density   11.66 Mg/m³

***

Material: YThGe
Method: DFT, PBE
State: optimized geometry

abc: 5.0081 5.0081 5.0081
angles: 60.00 60.00 60.00
Closest atoms and distances in Å follow each position.
Atoms (fractional coordinates):
Ge  0.5000  0.5000  0.5000  4 Y 3.07
Y  0.2500  0.2500  0.2500  4 Th 3.07, 4 Ge 3.07
Th  0.0000  0.0000  0.0000  4 Y 3.07

## Properties
E_tot   -5.6532 eV per atom
Mass density   7.36 Mg/m³

***

Material: TmTlGe
Method: DFT, PBE
State: optimized geometry

abc: 4.9223 4.9223 4.9223
angles: 60.00 60.00 60.00
Closest atoms and distances in Å follow each position.
Atoms (fractional coordinates):
Tl  0.7500  0.7500  0.7500  4 Tm 3.01
Ge  0.2500  0.2500  0.2500  4 Tm 3.01
Tm  0.0000  0.0000  0.0000  4 Tl 3.01, 4 Ge 3.01

## Properties
Energy above the lowest structure with this stoichiometry   0.000 eV per atom
Mass density   8.78 Mg/m³

***

Material: TmTlGe
Method: DFT, PBE
State: optimized geometry

abc: 4.9266 4.9266 4.9266
angles: 60.00 60.00 60.00
Closest atoms and distances in Å follow each position.
Atoms (fractional coordinates):
Ge  0.2500  0.2500  0.2500  4 Tl 3.02
Tm  0.7500  0.7500  0.7500  4 Tl 3.02
Tl  0.0000  0.0000  0.0000  4 Tm 3.02, 4 Ge 3.02

## Properties
Energy above the lowest structure with this stoichiometry   0.219 eV per atom
Mass density   8.76 Mg/m³

***

Material: UTlGe
Method: DFT, PBE
State: optimized geometry

abc: 4.9604 4.9604 4.9604
angles: 60.00 60.00 60.00
Closest atoms and distances in Å follow each position.
Atoms (fractional coordinates):
U  0.0000  0.0000  0.0000  4 Ge 3.04, 4 Tl 3.04
Tl  0.7500  0.7500  0.7500  4 U 3.04
Ge  0.2500  0.2500  0.2500  4 U 3.04

## Properties
Energy above the lowest structure with this stoichiometry   0.079 eV per atom
Mass density   9.91 Mg/m³